Entry i
Here is SrGa2Si2O8 at its PBEsol-relaxed geometry from Alexandria. Energies are from SCAN.

Cell lengths 8.505, 9.350, 9.350 Å; angles 90.26, 97.03, 82.97 degrees
Element x y z (fractional)
Sr 0.697 0.571 0.938
Sr 0.803 0.938 0.571
Sr 0.303 0.429 0.062
Sr 0.197 0.062 0.429
Ga 0.880 0.941 0.202
Ga 0.620 0.202 0.941
Ga 0.120 0.059 0.798
Ga 0.380 0.798 0.059
Ga 0.476 0.707 0.547
Ga 0.024 0.547 0.707
Ga 0.524 0.293 0.453
Ga 0.976 0.453 0.293
Si 0.507 0.060 0.219
Si 0.993 0.219 0.060
Si 0.493 0.940 0.781
Si 0.007 0.781 0.940
Si 0.098 0.723 0.435
Si 0.402 0.435 0.723
Si 0.902 0.277 0.565
Si 0.598 0.565 0.277
O 0.999 0.090 0.179
O 0.501 0.179 0.090
O 0.001 0.910 0.821
O 0.499 0.821 0.910
O 0.498 0.569 0.687
O 0.002 0.687 0.569
O 0.502 0.431 0.313
O 0.998 0.313 0.431
O 0.878 0.816 0.055
O 0.622 0.055 0.816
O 0.122 0.184 0.945
O 0.378 0.945 0.184
O 0.391 0.323 0.592
O 0.109 0.592 0.323
O 0.609 0.677 0.408
O 0.891 0.408 0.677
O 0.689 0.986 0.270
O 0.811 0.270 0.986
O 0.311 0.014 0.730
O 0.189 0.730 0.014
O 0.007 0.123 0.624
O 0.493 0.624 0.123
O 0.993 0.877 0.376
O 0.507 0.376 0.877
O 0.437 0.142 0.359
O 0.063 0.359 0.142
O 0.563 0.858 0.641
O 0.937 0.641 0.858
O 0.728 0.221 0.519
O 0.772 0.519 0.221
O 0.272 0.779 0.481
O 0.228 0.481 0.779

The value obtained for the volume is 14.1 Å³/atom.

Entry ii
Here is SrGa2Si2O8 at its PBEsol-relaxed geometry from Alexandria. Energies are from SCAN.

Cell lengths 8.399, 9.016, 9.506 Å; angles 90.00, 90.00, 90.78 degrees
Element x y z (fractional)
Sr 0.253 0.388 0.914
Sr 0.747 0.112 0.414
Sr 0.747 0.612 0.086
Sr 0.253 0.888 0.586
Ga 0.572 0.553 0.690
Ga 0.428 0.947 0.190
Ga 0.428 0.447 0.310
Ga 0.572 0.053 0.810
Ga 0.069 0.772 0.925
Ga 0.931 0.728 0.425
Ga 0.931 0.228 0.075
Ga 0.069 0.272 0.575
Si 0.560 0.744 0.418
Si 0.440 0.756 0.918
Si 0.440 0.256 0.582
Si 0.560 0.244 0.082
Si 0.055 0.938 0.201
Si 0.945 0.562 0.701
Si 0.945 0.062 0.799
Si 0.055 0.438 0.299
O 0.738 0.822 0.427
O 0.262 0.678 0.927
O 0.262 0.178 0.573
O 0.738 0.322 0.073
O 0.773 0.507 0.641
O 0.227 0.993 0.141
O 0.227 0.493 0.359
O 0.773 0.007 0.859
O 0.434 0.392 0.694
O 0.566 0.108 0.194
O 0.566 0.608 0.306
O 0.434 0.892 0.806
O 0.074 0.426 0.698
O 0.926 0.074 0.198
O 0.926 0.574 0.302
O 0.074 0.926 0.802
O 0.560 0.622 0.872
O 0.440 0.878 0.372
O 0.440 0.378 0.128
O 0.560 0.122 0.628
O 0.018 0.194 0.901
O 0.982 0.306 0.401
O 0.982 0.806 0.099
O 0.018 0.694 0.599
O 0.486 0.191 0.931
O 0.514 0.309 0.431
O 0.514 0.809 0.069
O 0.486 0.691 0.569
O 0.935 0.119 0.635
O 0.065 0.381 0.135
O 0.065 0.881 0.365
O 0.935 0.619 0.865

The value obtained for the volume is 13.8 Å³/atom.

Which of them is the most stable, and which is the least stable? entry ii and entry i, in that order.

Entry i
Here is Y4Ga2O9 at its PBEsol-relaxed geometry from Alexandria. Energies are from SCAN.

Cell lengths 7.328, 10.549, 11.280 Å; angles 90.00, 108.01, 90.00 degrees
Element x y z (fractional)
Y 0.019 0.898 0.800
Y 0.019 0.602 0.300
Y 0.163 0.118 0.586
Y 0.342 0.626 0.939
Y 0.163 0.382 0.086
Y 0.342 0.874 0.439
Y 0.480 0.383 0.721
Y 0.520 0.883 0.779
Y 0.480 0.117 0.221
Y 0.520 0.617 0.279
Y 0.658 0.126 0.561
Y 0.837 0.618 0.914
Y 0.658 0.374 0.061
Y 0.837 0.882 0.414
Y 0.981 0.398 0.700
Y 0.981 0.102 0.200
Ga 0.207 0.672 0.624
Ga 0.343 0.168 0.893
Ga 0.207 0.828 0.124
Ga 0.343 0.332 0.393
Ga 0.657 0.668 0.607
Ga 0.793 0.172 0.876
Ga 0.657 0.832 0.107
Ga 0.793 0.328 0.376
O 0.066 0.765 0.973
O 0.079 0.491 0.895
O 0.209 0.256 0.751
O 0.233 0.756 0.772
O 0.066 0.735 0.473
O 0.079 0.009 0.395
O 0.303 0.005 0.839
O 0.212 0.504 0.653
O 0.209 0.244 0.251
O 0.233 0.744 0.272
O 0.368 0.265 0.547
O 0.303 0.495 0.339
O 0.430 0.746 0.611
O 0.564 0.507 0.892
O 0.212 0.996 0.153
O 0.436 0.007 0.608
O 0.570 0.246 0.889
O 0.632 0.765 0.953
O 0.368 0.235 0.047
O 0.430 0.754 0.111
O 0.564 0.993 0.392
O 0.788 0.004 0.847
O 0.436 0.493 0.108
O 0.570 0.254 0.389
O 0.697 0.505 0.661
O 0.632 0.735 0.453
O 0.767 0.256 0.728
O 0.791 0.756 0.749
O 0.788 0.496 0.347
O 0.697 0.995 0.161
O 0.921 0.991 0.605
O 0.934 0.265 0.527
O 0.767 0.244 0.228
O 0.791 0.744 0.249
O 0.921 0.509 0.105
O 0.934 0.235 0.027

The value obtained for the volume is 13.8 Å³/atom.

Entry ii
Here is Y4Ga2O9 at its PBEsol-relaxed geometry from Alexandria. Energies are from SCAN.

Cell lengths 6.008, 10.937, 11.344 Å; angles 90.00, 90.00, 90.00 degrees
Element x y z (fractional)
Y 0.749 0.085 0.001
Y 0.251 0.585 0.001
Y 0.271 0.293 0.139
Y 0.729 0.793 0.139
Y 0.771 0.293 0.361
Y 0.229 0.793 0.361
Y 0.249 0.085 0.499
Y 0.751 0.585 0.499
Y 0.249 0.415 0.501
Y 0.751 0.915 0.501
Y 0.771 0.207 0.639
Y 0.229 0.707 0.639
Y 0.271 0.207 0.861
Y 0.729 0.707 0.861
Y 0.251 0.915 0.999
Y 0.749 0.415 0.999
Ga 0.058 0.041 0.227
Ga 0.942 0.541 0.227
Ga 0.442 0.541 0.273
Ga 0.558 0.041 0.273
Ga 0.442 0.959 0.727
Ga 0.558 0.459 0.727
Ga 0.942 0.959 0.773
Ga 0.058 0.459 0.773
O 0.534 0.250 0.000
O 0.466 0.750 0.000
O 0.117 0.114 0.053
O 0.883 0.614 0.053
O 0.458 0.469 0.117
O 0.542 0.969 0.117
O 0.067 0.877 0.175
O 0.933 0.377 0.175
O 0.201 0.637 0.222
O 0.799 0.137 0.222
O 0.701 0.637 0.278
O 0.299 0.137 0.278
O 0.433 0.377 0.325
O 0.567 0.877 0.325
O 0.958 0.469 0.383
O 0.042 0.969 0.383
O 0.383 0.614 0.447
O 0.617 0.114 0.447
O 0.034 0.250 0.500
O 0.966 0.750 0.500
O 0.383 0.886 0.553
O 0.617 0.386 0.553
O 0.042 0.531 0.617
O 0.958 0.031 0.617
O 0.433 0.123 0.675
O 0.567 0.623 0.675
O 0.299 0.363 0.722
O 0.701 0.863 0.722
O 0.201 0.863 0.778
O 0.799 0.363 0.778
O 0.067 0.623 0.825
O 0.933 0.123 0.825
O 0.458 0.031 0.883
O 0.542 0.531 0.883
O 0.883 0.886 0.947
O 0.117 0.386 0.947

The value obtained for the volume is 12.4 Å³/atom.

Which of them is the most stable, and which is the least stable? entry i and entry ii, in that order.

Entry i
Here is Ga3OsSe at its PBEsol-relaxed geometry from Alexandria. Energies are from SCAN.

Cell lengths 4.742, 4.742, 4.742 Å; angles 90.00, 90.00, 90.00 degrees
Site moments in Bohr magnetons follow the coordinates.
Element x y z (fractional)
Os 0.500 0.500 0.500  1.73
Ga 0.000 0.500 0.000  -0.01
Ga 0.000 0.000 0.500  -0.01
Ga 0.500 0.000 0.000  -0.01
Se 0.000 0.000 0.000  -0.03

The value obtained for the volume is 21.3 Å³/atom.

Entry ii
Here is Ga3OsSe at its PBEsol-relaxed geometry from Alexandria. Energies are from SCAN.

Cell lengths 4.761, 4.761, 4.761 Å; angles 90.00, 90.00, 90.00 degrees
Element x y z (fractional)
Os 0.000 0.000 0.000
Ga 0.000 0.500 0.000
Ga 0.000 0.000 0.500
Ga 0.500 0.000 0.000
Se 0.500 0.500 0.500

The value obtained for the volume is 21.6 Å³/atom.

Which of them is the most stable, and which is the least stable? entry ii and entry i, in that order.

Entry i
Here is GaP at its PBEsol-relaxed geometry from Alexandria. Energies are from SCAN.

Cell lengths 3.829, 3.829, 6.312 Å; angles 90.00, 90.00, 120.00 degrees
Element x y z (fractional)
P 0.667 0.333 0.626
P 0.333 0.667 0.126
Ga 0.667 0.333 0.000
Ga 0.333 0.667 0.500

The value obtained for the volume is 20.0 Å³/atom.

Entry ii
Here is GaP at its PBEsol-relaxed geometry from Alexandria. Energies are from SCAN.

Cell lengths 3.841, 3.841, 3.841 Å; angles 60.00, 60.00, 60.00 degrees
Element x y z (fractional)
P 0.250 0.250 0.250
Ga 0.000 0.000 0.000

The value obtained for the volume is 20.0 Å³/atom.

Which of them is the most stable, and which is the least stable? entry ii and entry i, in that order.